First-principles (PBE-GGA) data for NdInAg2 after structural relaxation, as listed in Alexandria.

```
NdInAg2
1.0
5.049 0.000 0.000
2.524 4.372 0.000
2.524 1.457 4.122
Nd Ag In
1 2 1
Direct
0.250 0.250 0.250
0.000 0.000 0.000
0.500 0.500 0.500
0.750 0.750 0.750
```

Properties
Energy of formation from the pure elements (meV/atom): -360
Volume (A^3/atom): 22.7
E (eV/atom): -3.663